# Na2AsH6

A relaxed Na2AsH6 crystal (GGA-PBE, the Alexandria database).

Output
Total moment in μB/cell: 0.0
DFT total energy in eV/atom: -2.8563
Space-group type: Fm-3m (225)

The structure in CIF format:
```
data_Na2AsH6
_chemical_formula_sum 'Na2 As1 H6'
_cell_length_a 5.2025
_cell_length_b 5.2025
_cell_length_c 5.2025
_cell_angle_alpha 60.00
_cell_angle_beta 60.00
_cell_angle_gamma 60.00
_symmetry_space_group_name_H-M 'P 1'
_symmetry_Int_Tables_number 1
loop_
_symmetry_equiv_pos_as_xyz
'x,y,z'
loop_
_atom_site_label
_atom_site_type_symbol
_atom_site_fract_x
_atom_site_fract_y
_atom_site_fract_z
H1 H 0.7643 0.7643 0.2357
Na1 Na 0.2500 0.2500 0.2500
As1 As 0.0000 0.0000 0.0000
H2 H 0.2357 0.2357 0.7643
H3 H 0.7643 0.2357 0.7643
H4 H 0.2357 0.7643 0.7643
Na2 Na 0.7500 0.7500 0.7500
H5 H 0.2357 0.7643 0.2357
H6 H 0.7643 0.2357 0.2357
```